[1]
Computed, not measured: a relaxed Fe2RuSe crystal at the PBE level of DFT.

Cell: 3.034 4.258 4.224 Å, 90.00 90.00 90.00°
Last column: magnetic moment on the atom in μB.
Fractional coordinates of all 4 atoms:
Se  0.000  0.500  0.500  0.01
Fe  0.000  0.000  0.000  2.87
Fe  0.500  0.500  0.000  2.43
Ru  0.500  0.000  0.500  0.41

Properties
- raw total energy (eV/atom) = -7.151
- formation energy (no corrections) (eV per atom) = 0.2702
- volume (Å³/atom) = 13.64
- magnetic moment (μB per formula unit) = 5.722

=====

[2]
Computed, not measured: a relaxed Fe2RuSe crystal at the PBE level of DFT.

Cell: 4.225 3.008 4.330 Å, 89.98 90.00 90.00°
Last column: magnetic moment on the atom in μB.
Fractional coordinates of all 4 atoms:
Fe  0.500  0.126  0.254  2.35
Fe  0.000  0.124  0.982  2.61
Se  0.500  0.625  0.789  -0.03
Ru  0.000  0.625  0.475  0.41

Properties
- raw total energy (eV/atom) = -7.167
- formation energy (no corrections) (eV per atom) = 0.2542
- volume (Å³/atom) = 13.76
- magnetic moment (μB per formula unit) = 5.367

=====

[3]
Computed, not measured: a relaxed FeRuSe crystal at the PBE level of DFT.

Cell: 4.123 4.123 4.123 Å, 60.00 60.00 60.00°
Last column: magnetic moment on the atom in μB.
Fractional coordinates of all 3 atoms:
Fe  0.500  0.500  0.500  2.77
Ru  0.750  0.750  0.750  0.26
Se  0.000  0.000  0.000  0.01

Properties
- raw total energy (eV/atom) = -6.864
- formation energy (no corrections) (eV per atom) = 0.2101
- volume (Å³/atom) = 16.52
- offset from the most stable computed form (eV/atom) = 0.0000
- magnetic moment (μB per formula unit) = 3.139

=====

[4]
Computed, not measured: a relaxed Fe2RuSe crystal at the PBE level of DFT.

Cell: 5.005 5.005 4.243 Å, 64.87 64.87 34.32°
Last column: magnetic moment on the atom in μB.
Fractional coordinates of all 4 atoms:
Ru  0.750  0.750  0.750  0.29
Se  0.250  0.250  0.250  -0.01
Fe  0.984  0.984  0.016  2.51
Fe  0.516  0.516  0.484  2.51

Properties
- raw total energy (eV/atom) = -7.169
- formation energy (no corrections) (eV per atom) = 0.2521
- volume (Å³/atom) = 13.42
- magnetic moment (μB per formula unit) = 5.276

=====

[5]
Computed, not measured: a relaxed FeRu3Se crystal at the PBE level of DFT.

Cell: 4.471 4.471 4.471 Å, 90.00 90.00 90.00°
Last column: magnetic moment on the atom in μB.
Fractional coordinates of all 5 atoms:
Ru  0.500  0.000  0.000  0.09
Ru  0.000  0.000  0.500  0.23
Ru  0.000  0.500  0.000  0.14
Se  0.000  0.000  0.000  0.01
Fe  0.500  0.500  0.500  0.20

Properties
- raw total energy (eV/atom) = -6.453
- formation energy (no corrections) (eV per atom) = 1.5016
- volume (Å³/atom) = 17.87
- offset from the most stable computed form (eV/atom) = 0.0927
- magnetic moment (μB per formula unit) = 0.673

=====

[6]
Computed, not measured: a relaxed FeRuSe crystal at the PBE level of DFT.

Cell: 5.172 5.172 5.172 Å, 146.32 146.32 48.38°
Last column: magnetic moment on the atom in μB.
Fractional coordinates of all 3 atoms:
Ru  0.671  0.671  0.000  0.21
Se  0.334  0.334  0.000  -0.04
Fe  0.995  0.995  0.000  2.54

Properties
- raw total energy (eV/atom) = -6.822
- formation energy (no corrections) (eV per atom) = 0.2522
- volume (Å³/atom) = 14.12
- offset from the most stable computed form (eV/atom) = 0.0422
- magnetic moment (μB per formula unit) = 2.677

=====

[7]
Computed, not measured: a relaxed Fe2RuSe crystal at the PBE level of DFT.

Cell: 4.477 4.477 4.477 Å, 130.95 130.95 71.90°
Fractional coordinates of all 4 atoms:
Fe  0.000  0.000  0.000
Fe  0.500  0.500  0.000
Ru  0.250  0.750  0.500
Se  0.750  0.250  0.500

Properties
- raw total energy (eV/atom) = -6.950
- formation energy (no corrections) (eV per atom) = 0.4716
- volume (Å³/atom) = 12.51
- magnetic moment (μB per formula unit) = 0.004

=====

[8]
Computed, not measured: a relaxed FeRu3Se crystal at the PBE level of DFT.

Cell: 4.425 4.425 4.425 Å, 90.00 90.00 90.00°
Fractional coordinates of all 5 atoms:
Ru  0.500  0.000  0.000
Ru  0.000  0.000  0.500
Ru  0.000  0.500  0.000
Se  0.500  0.500  0.500
Fe  0.000  0.000  0.000

Properties
- raw total energy (eV/atom) = -6.546
- formation energy (no corrections) (eV per atom) = 1.4088
- volume (Å³/atom) = 17.32
- offset from the most stable computed form (eV/atom) = 0.0000
- magnetic moment (μB per formula unit) = 0.000

=====

[9]
Computed, not measured: a relaxed FeRuSe crystal at the PBE level of DFT.

Cell: 4.025 4.025 2.978 Å, 90.00 90.00 120.00°
Last column: magnetic moment on the atom in μB.
Fractional coordinates of all 3 atoms:
Se  0.333  0.667  0.832  -0.08
Ru  0.667  0.333  0.334  0.35
Fe  0.000  0.000  0.835  1.90

Properties
- raw total energy (eV/atom) = -6.774
- formation energy (no corrections) (eV per atom) = 0.3002
- volume (Å³/atom) = 13.93
- offset from the most stable computed form (eV/atom) = 0.0901
- magnetic moment (μB per formula unit) = 2.156

=====

[10]
Computed, not measured: a relaxed Fe2RuSe crystal at the PBE level of DFT.

Cell: 5.768 4.570 2.878 Å, 90.04 60.00 118.28°
Last column: magnetic moment on the atom in μB.
Fractional coordinates of all 4 atoms:
Fe  0.000  0.000  0.000  2.58
Fe  0.500  0.000  0.500  2.58
Se  0.500  0.500  0.000  -0.05
Ru  0.000  0.500  0.500  0.30

Properties
- raw total energy (eV/atom) = -7.087
- formation energy (no corrections) (eV per atom) = 0.3347
- volume (Å³/atom) = 13.75
- magnetic moment (μB per formula unit) = 5.431

=====

[11]
Computed, not measured: a relaxed Fe2RuSe crystal at the PBE level of DFT.

Cell: 5.258 5.258 6.355 Å, 65.56 65.56 90.00°
Fractional coordinates of all 8 atoms:
Ru  0.000  0.000  0.000
Ru  0.750  0.250  0.500
Fe  0.629  0.125  0.250
Fe  0.121  0.625  0.250
Fe  0.375  0.371  0.750
Fe  0.875  0.879  0.750
Se  0.500  0.500  0.000
Se  0.250  0.750  0.500

Properties
- raw total energy (eV/atom) = -6.707
- formation energy (no corrections) (eV per atom) = 0.7146
- volume (Å³/atom) = 17.81
- magnetic moment (μB per formula unit) = 0.000

=====

[12]
Computed, not measured: a relaxed Fe2RuSe crystal at the PBE level of DFT.

Cell: 2.798 2.798 8.059 Å, 90.00 90.00 112.12°
Last column: magnetic moment on the atom in μB.
Fractional coordinates of all 4 atoms:
Se  0.500  0.500  0.750  0.08
Fe  0.000  0.000  0.004  2.84
Fe  0.000  0.000  0.496  2.84
Ru  0.500  0.500  0.250  1.20

Properties
- raw total energy (eV/atom) = -6.976
- formation energy (no corrections) (eV per atom) = 0.4453
- volume (Å³/atom) = 14.61
- magnetic moment (μB per formula unit) = 7.040

=====

[13]
Computed, not measured: a relaxed Fe2RuSe crystal at the PBE level of DFT.

Cell: 2.880 2.880 6.347 Å, 90.00 90.00 90.00°
Last column: magnetic moment on the atom in μB.
Fractional coordinates of all 4 atoms:
Fe  0.000  0.000  0.509  1.97
Fe  0.000  0.000  0.991  1.97
Se  0.500  0.500  0.750  -0.07
Ru  0.500  0.500  0.250  0.08

Properties
- raw total energy (eV/atom) = -7.152
- formation energy (no corrections) (eV per atom) = 0.2695
- volume (Å³/atom) = 13.16
- magnetic moment (μB per formula unit) = 3.891

=====

[14]
Computed, not measured: a relaxed Fe2RuSe crystal at the PBE level of DFT.

Cell: 4.964 4.964 4.964 Å, 143.66 130.81 62.67°
Last column: magnetic moment on the atom in μB.
Fractional coordinates of all 4 atoms:
Fe  0.757  0.257  0.500  2.49
Fe  0.007  0.007  0.000  2.55
Ru  0.487  0.487  0.000  0.55
Se  0.248  0.748  0.500  -0.02

Properties
- raw total energy (eV/atom) = -7.144
- formation energy (no corrections) (eV per atom) = 0.2779
- volume (Å³/atom) = 13.56
- magnetic moment (μB per formula unit) = 5.589

=====

[15]
Computed, not measured: a relaxed FeRuSe3 crystal at the PBE level of DFT.

Cell: 4.854 4.854 4.854 Å, 90.00 90.00 90.00°
Last column: magnetic moment on the atom in μB.
Fractional coordinates of all 5 atoms:
Fe  0.500  0.500  0.500  3.42
Se  0.000  0.500  0.000  -0.02
Se  0.500  0.000  0.000  -0.14
Se  0.000  0.000  0.500  0.04
Ru  0.000  0.000  0.000  -0.63

Properties
- raw total energy (eV/atom) = -4.823
- formation energy (no corrections) (eV per atom) = 0.8159
- volume (Å³/atom) = 22.87
- offset from the most stable computed form (eV/atom) = 0.0000
- magnetic moment (μB per formula unit) = 2.770

=====

[16]
Computed, not measured: a relaxed Fe2RuSe crystal at the PBE level of DFT.

Cell: 3.029 3.029 5.872 Å, 90.00 90.00 90.00°
Last column: magnetic moment on the atom in μB.
Fractional coordinates of all 4 atoms:
Fe  0.500  0.500  0.235  2.79
Fe  0.000  0.000  0.007  2.31
Ru  0.000  0.000  0.496  0.18
Se  0.500  0.500  0.762  -0.02

Properties
- raw total energy (eV/atom) = -7.266
- formation energy (no corrections) (eV per atom) = 0.1552
- volume (Å³/atom) = 13.47
- magnetic moment (μB per formula unit) = 5.256

=====

[17]
Computed, not measured: a relaxed SrFeRu2Se crystal at the PBE level of DFT.

Cell: 4.687 4.523 4.687 Å, 90.00 90.00 90.00°
Last column: magnetic moment on the atom in μB.
Fractional coordinates of all 5 atoms:
Ru  0.500  0.000  0.000  0.08
Ru  0.000  0.000  0.500  0.27
Se  0.000  0.000  0.000  -0.04
Sr  0.500  0.500  0.500  -0.02
Fe  0.000  0.500  0.000  2.42

Properties
- raw total energy (eV/atom) = -5.976
- formation energy (no corrections) (eV per atom) = 0.4598
- volume (Å³/atom) = 19.87
- magnetic moment (μB per formula unit) = 2.637

=====

[18]
Computed, not measured: a relaxed Fe2SiRu crystal at the PBE level of DFT.

Cell: 4.718 4.718 4.718 Å, 143.06 128.49 65.06°
Last column: magnetic moment on the atom in μB.
Fractional coordinates of all 4 atoms:
Si  0.244  0.744  0.500  -0.05
Fe  0.006  0.006  0.000  2.18
Fe  0.759  0.259  0.500  2.19
Ru  0.492  0.492  0.000  0.47

Properties
- raw total energy (eV/atom) = -8.074
- formation energy (no corrections) (eV per atom) = -0.1676
- volume (Å³/atom) = 12.19
- magnetic moment (μB per formula unit) = 4.739

=====

[19]
Computed, not measured: a relaxed Fe2SiRu crystal at the PBE level of DFT.

Cell: 4.885 4.885 4.885 Å, 146.09 131.22 60.73°
Last column: magnetic moment on the atom in μB.
Fractional coordinates of all 4 atoms:
Si  0.250  0.750  0.500  -0.04
Fe  0.492  0.492  0.000  2.22
Fe  0.008  0.008  0.000  2.22
Ru  0.750  0.250  0.500  0.14

Properties
- raw total energy (eV/atom) = -8.158
- formation energy (no corrections) (eV per atom) = -0.2518
- volume (Å³/atom) = 12.11
- magnetic moment (μB per formula unit) = 4.466

=====

[20]
Computed, not measured: a relaxed Fe2SiRu crystal at the PBE level of DFT.

Cell: 8.024 8.024 8.024 Å, 19.30 19.30 19.30°
Last column: magnetic moment on the atom in μB.
Fractional coordinates of all 4 atoms:
Si  0.746  0.746  0.746  -0.04
Ru  0.497  0.497  0.497  0.06
Fe  0.003  0.003  0.003  1.32
Fe  0.254  0.254  0.254  2.47

Properties
- raw total energy (eV/atom) = -7.928
- formation energy (no corrections) (eV per atom) = -0.0219
- volume (Å³/atom) = 12.34
- magnetic moment (μB per formula unit) = 3.764